Entry 1:
Be2PdBr: relaxed, PBE-GGA.

Properties
Its total moment is 0.0 μB per formula unit. As for the density of states at the Fermi level: 0.88 states/eV/atom. The calculation puts the density at 4.76 g/cm³. The formation energy (no corrections) comes out at 221 meV/atom.

Cell: 6.094 6.094 6.094 Å, 126.14 126.14 79.65°
Atoms (fractional coordinates):
Be 0.100 0.625 0.975
Be 0.375 0.350 0.475
Be 0.650 0.125 0.025
Be 0.875 0.900 0.525
Pd 0.000 0.000 0.000
Pd 0.750 0.250 0.500
Br 0.250 0.750 0.500
Br 0.500 0.500 0.000

***

Entry 2:
BePd2Br: relaxed, PBE-GGA.

Properties
Its total moment is 0.0 μB per formula unit. As for the density of states at the Fermi level: 0.91 states/eV/atom. The calculation puts the density at 6.40 g/cm³. The formation energy (no corrections) comes out at 200 meV/atom.

Cell: 7.348 7.348 7.348 Å, 140.90 140.90 56.48°
Atoms (fractional coordinates):
Be 0.000 0.000 0.000
Be 0.750 0.250 0.500
Pd 0.045 0.625 0.920
Pd 0.375 0.295 0.420
Pd 0.705 0.125 0.080
Pd 0.875 0.955 0.580
Br 0.250 0.750 0.500
Br 0.500 0.500 0.000

***

Entry 3:
RbBePdBr: relaxed, PBE-GGA.

Properties
Its total moment is 0.0 μB per formula unit. As for the density of states at the Fermi level: 0.08 states/eV/atom. The calculation puts the density at 4.06 g/cm³. The formation energy (no corrections) comes out at -273 meV/atom.

Cell: 3.629 5.704 5.751 Å, 105.30 90.24 90.06°
Atoms (fractional coordinates):
Rb 0.000 0.000 0.000
Be 0.501 0.558 0.209
Pd 0.003 0.564 0.426
Br 0.499 0.449 0.810

***

Entry 4:
Rb2BePdBr6: relaxed, PBE-GGA.

Properties
Its total moment is 0.0 μB per formula unit. As for the density of states at the Fermi level: 0.21 states/eV/atom. The calculation puts the density at 4.35 g/cm³. The formation energy (no corrections) comes out at -914 meV/atom.

Cell: 7.558 7.558 7.558 Å, 122.59 122.59 85.57°
Atoms (fractional coordinates):
Rb 0.250 0.750 0.500
Rb 0.750 0.250 0.500
Be 0.000 0.000 0.000
Pd 0.500 0.500 0.000
Br 0.229 0.229 0.459
Br 0.229 0.771 0.000
Br 0.274 0.274 0.000
Br 0.726 0.726 0.000
Br 0.771 0.229 0.000
Br 0.771 0.771 0.541

***

Entry 5:
RbBePdBr: relaxed, PBE-GGA.

Properties
Its total moment is 0.0 μB per formula unit. The calculation puts the density at 3.79 g/cm³. The formation energy (no corrections) comes out at -305 meV/atom.

Cell: 6.787 6.787 5.986 Å, 116.11 116.11 30.07°
Atoms (fractional coordinates):
Rb 0.000 0.000 0.000
Be 0.300 0.300 0.143
Pd 0.714 0.714 0.914
Br 0.467 0.467 0.469

***

Entry 6:
RbBePdBr: relaxed, PBE-GGA.

Properties
Its total moment is 0.0 μB per formula unit. As for the density of states at the Fermi level: 0.17 states/eV/atom. The calculation puts the density at 5.15 g/cm³. The formation energy (no corrections) comes out at -352 meV/atom.

Cell: 8.198 8.198 3.370 Å, 101.82 101.82 145.97°
Atoms (fractional coordinates):
Rb 0.000 0.000 0.000
Be 0.784 0.216 0.000
Pd 0.328 0.672 0.000
Br 0.644 0.356 0.000

***

Entry 7:
RbBePdBr: relaxed, PBE-GGA.

Properties
Its total moment is 0.0 μB per formula unit. The calculation puts the density at 3.81 g/cm³. The formation energy (no corrections) comes out at -314 meV/atom.

Cell: 6.871 6.871 5.220 Å, 90.15 90.15 29.77°
Atoms (fractional coordinates):
Rb 0.000 0.000 0.000
Be 0.783 0.783 0.499
Pd 0.383 0.383 0.499
Br 0.621 0.621 0.501

***

Entry 8:
BePdSeBr2: relaxed, PBE-GGA.

Properties
Its total moment is 0.0 μB per formula unit. As for the density of states at the Fermi level: 0.84 states/eV/atom. The calculation puts the density at 4.56 g/cm³. The formation energy (no corrections) comes out at 587 meV/atom.

Cell: 5.057 5.057 5.041 Å, 90.00 90.00 90.00°
Atoms (fractional coordinates):
Be 0.000 0.000 0.000
Pd 0.500 0.500 0.500
Se 0.500 0.500 0.000
Br 0.000 0.500 0.500
Br 0.500 0.000 0.500

***

Entry 9:
BePdSeBr2: relaxed, PBE-GGA.

Properties
Its total moment is 0.0 μB per formula unit. As for the density of states at the Fermi level: 1.05 states/eV/atom. The calculation puts the density at 5.55 g/cm³. The formation energy (no corrections) comes out at 270 meV/atom.

Cell: 4.718 4.718 4.758 Å, 90.00 90.00 90.00°
Atoms (fractional coordinates):
Be 0.000 0.000 0.000
Pd 0.500 0.500 0.500
Se 0.000 0.000 0.500
Br 0.000 0.500 0.000
Br 0.500 0.000 0.000

***

Entry 10:
BeSiPdBr2: relaxed, PBE-GGA.

Properties
Its total moment is 0.6 μB per formula unit. As for the density of states at the Fermi level: 0.59 states/eV/atom. The calculation puts the density at 4.23 g/cm³. The formation energy (no corrections) comes out at 694 meV/atom.

Cell: 5.284 5.284 4.266 Å, 90.00 90.00 90.00°
Atoms (fractional coordinates):
Be 0.000 0.000 0.000
Si 0.500 0.500 0.000
Pd 0.000 0.000 0.500
Br 0.000 0.500 0.500
Br 0.500 0.000 0.500

***

Entry 11:
Pm3BeBr3: relaxed, PBE-GGA.

Properties
Its total moment is 0.0 μB per formula unit. As for the density of states at the Fermi level: 0.79 states/eV/atom. The calculation puts the density at 5.55 g/cm³. The formation energy (no corrections) comes out at -1084 meV/atom.

Cell: 10.207 10.207 10.207 Å, 109.47 109.47 109.47°
Atoms (fractional coordinates):
Pm 0.012 0.023 0.262
Pm 0.012 0.488 0.750
Pm 0.023 0.262 0.012
Pm 0.238 0.262 0.750
Pm 0.238 0.477 0.488
Pm 0.262 0.012 0.023
Pm 0.262 0.750 0.238
Pm 0.477 0.488 0.238
Pm 0.488 0.238 0.477
Pm 0.488 0.750 0.012
Pm 0.750 0.012 0.488
Pm 0.750 0.238 0.262
Be 0.000 0.250 0.500
Be 0.250 0.250 0.250
Be 0.250 0.500 0.000
Be 0.500 0.000 0.250
Br 0.250 0.758 0.742
Br 0.250 0.992 0.508
Br 0.508 0.250 0.992
Br 0.508 0.758 0.516
Br 0.516 0.508 0.758
Br 0.742 0.250 0.758
Br 0.742 0.992 0.984
Br 0.758 0.516 0.508
Br 0.758 0.742 0.250
Br 0.984 0.742 0.992
Br 0.992 0.508 0.250
Br 0.992 0.984 0.742

***

Entry 12:
Pm2BeBr: relaxed, PBE-GGA.

Properties
Its total moment is 0.0 μB per formula unit. As for the density of states at the Fermi level: 1.03 states/eV/atom. The calculation puts the density at 5.96 g/cm³. The formation energy (no corrections) comes out at -495 meV/atom.

Cell: 7.962 7.962 7.962 Å, 29.10 29.10 29.10°
Atoms (fractional coordinates):
Pm 0.239 0.239 0.239
Pm 0.761 0.761 0.761
Be 0.500 0.500 0.500
Br 0.000 0.000 0.000

***

Entry 13:
Pm7BeBr12: relaxed, PBE-GGA.

Properties
Its total moment is 0.0 μB per formula unit. As for the density of states at the Fermi level: 0.55 states/eV/atom. The calculation puts the density at 4.94 g/cm³. The formation energy (no corrections) comes out at -1538 meV/atom.

Cell: 9.348 9.348 9.348 Å, 107.74 107.74 107.74°
Atoms (fractional coordinates):
Pm 0.000 0.000 0.000
Pm 0.178 0.464 0.389
Pm 0.389 0.178 0.464
Pm 0.464 0.389 0.178
Pm 0.536 0.611 0.822
Pm 0.611 0.822 0.536
Pm 0.822 0.536 0.611
Be 0.500 0.500 0.500
Br 0.026 0.108 0.341
Br 0.108 0.341 0.026
Br 0.189 0.577 0.726
Br 0.274 0.811 0.423
Br 0.341 0.026 0.108
Br 0.423 0.274 0.811
Br 0.577 0.726 0.189
Br 0.659 0.974 0.892
Br 0.726 0.189 0.577
Br 0.811 0.423 0.274
Br 0.892 0.659 0.974
Br 0.974 0.892 0.659

***

Entry 14:
Pm4BeBr6: relaxed, PBE-GGA.

Properties
Its total moment is 0.0 μB per formula unit. The calculation puts the density at 5.30 g/cm³. The formation energy (no corrections) comes out at -1200 meV/atom.

Cell: 9.653 9.653 7.188 Å, 90.00 90.00 90.00°
Atoms (fractional coordinates):
Pm 0.015 0.750 0.083
Pm 0.250 0.515 0.417
Pm 0.250 0.985 0.417
Pm 0.485 0.750 0.083
Pm 0.515 0.250 0.917
Pm 0.750 0.015 0.583
Pm 0.750 0.485 0.583
Pm 0.985 0.250 0.917
Be 0.250 0.750 0.250
Be 0.750 0.250 0.750
Br 0.042 0.542 0.750
Br 0.042 0.958 0.750
Br 0.250 0.250 0.162
Br 0.250 0.250 0.662
Br 0.458 0.542 0.750
Br 0.458 0.958 0.750
Br 0.542 0.042 0.250
Br 0.542 0.458 0.250
Br 0.750 0.750 0.338
Br 0.750 0.750 0.838
Br 0.958 0.042 0.250
Br 0.958 0.458 0.250

***

Entry 15:
Pr7BeBr12: relaxed, PBE-GGA.

Properties
Its total moment is 0.0 μB per formula unit. As for the density of states at the Fermi level: 0.54 states/eV/atom. The calculation puts the density at 4.64 g/cm³. The formation energy (no corrections) comes out at -1540 meV/atom.

Cell: 9.502 9.502 9.502 Å, 107.78 107.78 107.78°
Atoms (fractional coordinates):
Pr 0.000 0.000 0.000
Pr 0.176 0.464 0.387
Pr 0.387 0.176 0.464
Pr 0.464 0.387 0.176
Pr 0.536 0.613 0.824
Pr 0.613 0.824 0.536
Pr 0.824 0.536 0.613
Be 0.500 0.500 0.500
Br 0.025 0.109 0.341
Br 0.109 0.341 0.025
Br 0.190 0.578 0.725
Br 0.275 0.810 0.422
Br 0.341 0.025 0.109
Br 0.422 0.275 0.810
Br 0.578 0.725 0.190
Br 0.659 0.975 0.891
Br 0.725 0.190 0.578
Br 0.810 0.422 0.275
Br 0.891 0.659 0.975
Br 0.975 0.891 0.659

***

Entry 16:
Pr4BeBr5: relaxed, PBE-GGA.

Properties
Its total moment is 0.0 μB per formula unit. As for the density of states at the Fermi level: 0.39 states/eV/atom. The calculation puts the density at 4.87 g/cm³. The formation energy (no corrections) comes out at -1290 meV/atom.

Cell: 9.664 9.664 8.861 Å, 103.08 103.08 24.30°
Atoms (fractional coordinates):
Pr 0.000 0.000 0.227
Pr 0.000 0.000 0.773
Pr 0.349 0.349 0.918
Pr 0.651 0.651 0.082
Be 0.500 0.500 0.000
Br 0.166 0.166 0.337
Br 0.172 0.172 0.836
Br 0.500 0.500 0.500
Br 0.828 0.828 0.164
Br 0.834 0.834 0.663

***

Entry 17:
Pr4BeBr6: relaxed, PBE-GGA.

Properties
Its total moment is 0.0 μB per formula unit. The calculation puts the density at 5.00 g/cm³. The formation energy (no corrections) comes out at -1226 meV/atom.

Cell: 9.779 9.779 7.306 Å, 90.00 90.00 90.00°
Atoms (fractional coordinates):
Pr 0.015 0.750 0.081
Pr 0.250 0.515 0.419
Pr 0.250 0.985 0.419
Pr 0.485 0.750 0.081
Pr 0.515 0.250 0.919
Pr 0.750 0.015 0.581
Pr 0.750 0.485 0.581
Pr 0.985 0.250 0.919
Be 0.250 0.750 0.250
Be 0.750 0.250 0.750
Br 0.041 0.541 0.750
Br 0.041 0.959 0.750
Br 0.250 0.250 0.169
Br 0.250 0.250 0.669
Br 0.459 0.541 0.750
Br 0.459 0.959 0.750
Br 0.541 0.041 0.250
Br 0.541 0.459 0.250
Br 0.750 0.750 0.331
Br 0.750 0.750 0.831
Br 0.959 0.041 0.250
Br 0.959 0.459 0.250

***

Entry 18:
Pr3BeBr3: relaxed, PBE-GGA.

Properties
Its total moment is 0.0 μB per formula unit. As for the density of states at the Fermi level: 0.87 states/eV/atom. The calculation puts the density at 5.18 g/cm³. The formation energy (no corrections) comes out at -1083 meV/atom.

Cell: 10.380 10.380 10.380 Å, 109.47 109.47 109.47°
Atoms (fractional coordinates):
Pr 0.011 0.022 0.261
Pr 0.011 0.489 0.750
Pr 0.022 0.261 0.011
Pr 0.239 0.261 0.750
Pr 0.239 0.478 0.489
Pr 0.261 0.011 0.022
Pr 0.261 0.750 0.239
Pr 0.478 0.489 0.239
Pr 0.489 0.239 0.478
Pr 0.489 0.750 0.011
Pr 0.750 0.011 0.489
Pr 0.750 0.239 0.261
Be 0.000 0.250 0.500
Be 0.250 0.250 0.250
Be 0.250 0.500 0.000
Be 0.500 0.000 0.250
Br 0.250 0.757 0.743
Br 0.250 0.993 0.507
Br 0.507 0.250 0.993
Br 0.507 0.757 0.515
Br 0.515 0.507 0.757
Br 0.743 0.250 0.757
Br 0.743 0.993 0.985
Br 0.757 0.515 0.507
Br 0.757 0.743 0.250
Br 0.985 0.743 0.993
Br 0.993 0.507 0.250
Br 0.993 0.985 0.743

***

Entry 19:
BePtBr2: relaxed, PBE-GGA.

Properties
Its total moment is 0.0 μB per formula unit. As for the density of states at the Fermi level: 0.43 states/eV/atom. The calculation puts the density at 6.90 g/cm³. The formation energy (no corrections) comes out at 505 meV/atom.

Cell: 3.486 3.766 6.668 Å, 90.00 90.00 90.00°
Atoms (fractional coordinates):
Be 0.000 0.000 0.000
Pt 0.500 0.000 0.500
Br 0.000 0.500 0.500
Br 0.500 0.500 0.000

***

Entry 20:
BePtBr2: relaxed, PBE-GGA.

Properties
Its total moment is 0.0 μB per formula unit. The calculation puts the density at 4.84 g/cm³. The formation energy (no corrections) comes out at -29 meV/atom.

Cell: 6.541 6.541 6.541 Å, 152.69 94.89 91.50°
Atoms (fractional coordinates):
Be 0.000 0.000 0.000
Pt 0.204 0.704 0.500
Br 0.415 0.415 0.000
Br 0.835 0.335 0.500

***

Entry 21:
Be2PtBr: relaxed, PBE-GGA.

Properties
Its total moment is 0.0 μB per formula unit. As for the density of states at the Fermi level: 0.24 states/eV/atom. The calculation puts the density at 6.34 g/cm³. The formation energy (no corrections) comes out at 298 meV/atom.

Cell: 5.292 5.292 5.292 Å, 147.36 95.85 93.21°
Atoms (fractional coordinates):
Be 0.234 0.234 0.000
Be 0.766 0.766 0.000
Pt 0.000 0.500 0.500
Br 0.500 0.000 0.500